Entry 1:
## Ca3Ga2Si4 (GGA-PBE)

Data for a relaxed structure of Ca3Ga2Si4.

- E_tot (eV/atom) = -4.122
- spin magnetization (μB/cell) = 0.00

```
data_Ca3Ga2Si4
_chemical_formula_sum 'Ca3 Ga2 Si4'
_cell_length_a 4.0465
_cell_length_b 6.1677
_cell_length_c 8.6112
_cell_angle_alpha 107.86
_cell_angle_beta 90.00
_cell_angle_gamma 109.15
_space_group_name_H-M_alt 'P 1'
_space_group_IT_number 1
loop_
_space_group_symop_operation_xyz
'x,y,z'
loop_
_atom_site_label
_atom_site_type_symbol
_atom_site_fract_x
_atom_site_fract_y
_atom_site_fract_z
_atom_site_occupancy
Ca1 Ca 0.6099 0.2197 0.6895 1
Ca2 Ca 0.0000 0.0000 0.0000 1
Ca3 Ca 0.3901 0.7803 0.3105 1
Ga1 Ga 0.6994 0.3987 0.3381 1
Ga2 Ga 0.3006 0.6013 0.6619 1
Si1 Si 0.7154 0.4308 0.0504 1
Si2 Si 0.2846 0.5692 0.9496 1
Si3 Si 0.9018 0.8035 0.6062 1
Si4 Si 0.0982 0.1965 0.3938 1
```

=====

Entry 2:
## BaSi5Pd4 (GGA-PBE)

Data for a relaxed structure of BaSi5Pd4.

- E_tot (eV/atom) = -5.302
- spin magnetization (μB/cell) = 0.00

```
data_BaSi5Pd4
_chemical_formula_sum 'Ba2 Si10 Pd8'
_cell_length_a 7.4161
_cell_length_b 7.2510
_cell_length_c 6.8658
_cell_angle_alpha 90.00
_cell_angle_beta 90.00
_cell_angle_gamma 90.00
_space_group_name_H-M_alt 'P 1'
_space_group_IT_number 1
loop_
_space_group_symop_operation_xyz
'x,y,z'
loop_
_atom_site_label
_atom_site_type_symbol
_atom_site_fract_x
_atom_site_fract_y
_atom_site_fract_z
_atom_site_occupancy
Ba1 Ba 0.9718 0.0000 0.0000 1
Ba2 Ba 0.0282 0.5000 0.5000 1
Si1 Si 0.7039 0.3213 0.1800 1
Si2 Si 0.7039 0.3213 0.8200 1
Si3 Si 0.0348 0.0000 0.5000 1
Si4 Si 0.7039 0.6787 0.1800 1
Si5 Si 0.7039 0.6787 0.8200 1
Si6 Si 0.2961 0.8213 0.3200 1
Si7 Si 0.2961 0.8213 0.6800 1
Si8 Si 0.9652 0.5000 0.0000 1
Si9 Si 0.2961 0.1787 0.6800 1
Si10 Si 0.2961 0.1787 0.3200 1
Pd1 Pd 0.2566 0.3120 0.0000 1
Pd2 Pd 0.5439 0.0000 0.2006 1
Pd3 Pd 0.5439 0.0000 0.7994 1
Pd4 Pd 0.2566 0.6880 0.0000 1
Pd5 Pd 0.7434 0.8120 0.5000 1
Pd6 Pd 0.4561 0.5000 0.2994 1
Pd7 Pd 0.4561 0.5000 0.7006 1
Pd8 Pd 0.7434 0.1880 0.5000 1
```

=====

Entry 3:
## CsTlIn2Ru (GGA-PBE)

Data for a relaxed structure of CsTlIn2Ru.

- energy of formation from the pure elements (eV per atom) = -0.06
- spin magnetization (μB/cell) = 0.00

```
data_CsTlIn2Ru
_chemical_formula_sum 'Cs1 Tl1 In2 Ru1'
_cell_length_a 5.3115
_cell_length_b 5.3115
_cell_length_c 5.4228
_cell_angle_alpha 90.00
_cell_angle_beta 90.00
_cell_angle_gamma 90.00
_space_group_name_H-M_alt 'P 1'
_space_group_IT_number 1
loop_
_space_group_symop_operation_xyz
'x,y,z'
loop_
_atom_site_label
_atom_site_type_symbol
_atom_site_fract_x
_atom_site_fract_y
_atom_site_fract_z
_atom_site_occupancy
Cs1 Cs 0.5000 0.5000 0.5000 1
Ru1 Ru 0.0000 0.0000 0.0000 1
Tl1 Tl 0.0000 0.0000 0.5000 1
In1 In 0.0000 0.5000 0.0000 1
In2 In 0.5000 0.0000 0.0000 1
```

=====

Entry 4:
## Pr2DyHo9 (GGA-PBE)

Data for a relaxed structure of Pr2DyHo9.

- energy of formation from the pure elements (eV per atom) = 0.02
- spin magnetization (μB/cell) = 0.00

```
data_Pr2DyHo9
_chemical_formula_sum 'Pr2 Dy1 Ho9'
_cell_length_a 5.0305
_cell_length_b 5.0305
_cell_length_c 15.0849
_cell_angle_alpha 90.00
_cell_angle_beta 90.00
_cell_angle_gamma 90.00
_space_group_name_H-M_alt 'P 1'
_space_group_IT_number 1
loop_
_space_group_symop_operation_xyz
'x,y,z'
loop_
_atom_site_label
_atom_site_type_symbol
_atom_site_fract_x
_atom_site_fract_y
_atom_site_fract_z
_atom_site_occupancy
Pr1 Pr 0.0000 0.0000 0.3327 1
Pr2 Pr 0.0000 0.0000 0.6673 1
Dy1 Dy 0.0000 0.0000 0.0000 1
Ho1 Ho 0.5000 0.5000 0.0000 1
Ho2 Ho 0.5000 0.5000 0.3318 1
Ho3 Ho 0.5000 0.5000 0.6682 1
Ho4 Ho 0.5000 0.0000 0.1641 1
Ho5 Ho 0.5000 0.0000 0.5000 1
Ho6 Ho 0.5000 0.0000 0.8359 1
Ho7 Ho 0.0000 0.5000 0.1641 1
Ho8 Ho 0.0000 0.5000 0.5000 1
Ho9 Ho 0.0000 0.5000 0.8359 1
```

=====

Entry 5:
## Nd7Dy4Y (GGA-PBE)

Data for a relaxed structure of Nd7Dy4Y.

- energy of formation from the pure elements (eV per atom) = 0.22
- spin magnetization (μB/cell) = 0.23

```
data_Nd7Dy4Y
_chemical_formula_sum 'Nd7 Dy4 Y1'
_cell_length_a 6.0234
_cell_length_b 9.8076
_cell_length_c 8.6514
_cell_angle_alpha 61.21
_cell_angle_beta 69.63
_cell_angle_gamma 72.12
_space_group_name_H-M_alt 'P 1'
_space_group_IT_number 1
loop_
_space_group_symop_operation_xyz
'x,y,z'
loop_
_atom_site_label
_atom_site_type_symbol
_atom_site_fract_x
_atom_site_fract_y
_atom_site_fract_z
_atom_site_occupancy
Nd1 Nd 0.7877 0.8838 0.5408 1
Nd2 Nd 0.2123 0.1162 0.4592 1
Nd3 Nd 0.0851 0.5522 0.2777 1
Nd4 Nd 0.9149 0.4478 0.7223 1
Nd5 Nd 0.2122 0.7628 0.8127 1
Nd6 Nd 0.5000 0.0000 0.0000 1
Nd7 Nd 0.7878 0.2372 0.1873 1
Dy1 Dy 0.5710 0.3017 0.5563 1
Dy2 Dy 0.4290 0.6983 0.4437 1
Dy3 Dy 0.6706 0.6161 0.0428 1
Dy4 Dy 0.3294 0.3839 0.9572 1
Y1 Y 0.0000 0.0000 0.0000 1
```

=====

Entry 6:
## ZrTa2V2 (GGA-PBE)

Data for a relaxed structure of ZrTa2V2.

- energy of formation from the pure elements (eV per atom) = 0.41
- spin magnetization (μB/cell) = 0.79

```
data_ZrTa2V2
_chemical_formula_sum 'Zr1 Ta2 V2'
_cell_length_a 3.9906
_cell_length_b 3.9906
_cell_length_c 6.4530
_cell_angle_alpha 71.99
_cell_angle_beta 71.99
_cell_angle_gamma 90.00
_space_group_name_H-M_alt 'P 1'
_space_group_IT_number 1
loop_
_space_group_symop_operation_xyz
'x,y,z'
loop_
_atom_site_label
_atom_site_type_symbol
_atom_site_fract_x
_atom_site_fract_y
_atom_site_fract_z
_atom_site_occupancy
Ta1 Ta 0.7500 0.2500 0.5000 1
Ta2 Ta 0.2500 0.7500 0.5000 1
Zr1 Zr 0.0000 0.0000 0.0000 1
V1 V 0.4073 0.4073 0.1854 1
V2 V 0.5927 0.5927 0.8146 1
```